The following is a DFT calculation (PBE-GGA) of a geometry-optimized BeRuS2 structure.

Total magnetization (Bohr magnetons per cell): 0.000
Mass density (g/cm³): 5.19
Formation energy from raw total energies (meV per atom): -8

a = 7.390 Å, b = 7.390 Å, c = 7.390 Å
α = 23.36°, β = 23.36°, γ = 23.36°
Atoms (fractional coordinates):
Ru1 0.000 0.000 0.000
S1 0.896 0.896 0.896
S2 0.104 0.104 0.104
Be1 0.500 0.500 0.500